# 1
# KMn2Al, optimized geometry, DFT PBE-GGA
data_KMn2Al
_space_group_name_H-M_alt 'P 1'
_space_group_IT_number 1
_space_group_name_Hall 'P 1'
_cell_length_a 5.238
_cell_length_b 5.238
_cell_length_c 17.743
_cell_angle_alpha 90.00
_cell_angle_beta 90.00
_cell_angle_gamma 90.00
loop_
_atom_site_label
_atom_site_type_symbol
_atom_site_fract_x
_atom_site_fract_y
_atom_site_fract_z
K1 K 0.000 0.250 0.375
K2 K 0.000 0.750 0.625
K3 K 0.500 0.250 0.125
K4 K 0.500 0.750 0.875
Mn1 Mn 0.000 0.000 0.000
Mn2 Mn 0.000 0.500 0.000
Mn3 Mn 0.250 0.250 0.750
Mn4 Mn 0.250 0.750 0.250
Mn5 Mn 0.500 0.000 0.500
Mn6 Mn 0.500 0.500 0.500
Mn7 Mn 0.750 0.250 0.750
Mn8 Mn 0.750 0.750 0.250
Al1 Al 0.000 0.250 0.875
Al2 Al 0.000 0.750 0.125
Al3 Al 0.500 0.250 0.625
Al4 Al 0.500 0.750 0.375
# Symmetry: No. 141
# Raw total energy, Ry per atom: -0.362
# Volume, Å³/atom: 30.43

***

# 2
# KMn2Al, optimized geometry, DFT PBE-GGA
data_KMn2Al
_space_group_name_H-M_alt 'P 1'
_space_group_IT_number 1
_space_group_name_Hall 'P 1'
_cell_length_a 4.629
_cell_length_b 4.629
_cell_length_c 4.043
_cell_angle_alpha 90.00
_cell_angle_beta 90.00
_cell_angle_gamma 90.00
loop_
_atom_site_label
_atom_site_type_symbol
_atom_site_fract_x
_atom_site_fract_y
_atom_site_fract_z
K1 K 0.000 0.000 0.000
Mn1 Mn 0.000 0.500 0.500
Mn2 Mn 0.500 0.000 0.500
Al1 Al 0.500 0.500 0.000
# Symmetry: No. 123
# Raw total energy, Ry per atom: -0.354
# Volume, Å³/atom: 21.66

***

# 3
# KMnAl2, optimized geometry, DFT PBE-GGA
data_KMnAl2
_space_group_name_H-M_alt 'P 1'
_space_group_IT_number 1
_space_group_name_Hall 'P 1'
_cell_length_a 2.961
_cell_length_b 2.961
_cell_length_c 30.215
_cell_angle_alpha 90.00
_cell_angle_beta 90.00
_cell_angle_gamma 120.00
loop_
_atom_site_label
_atom_site_type_symbol
_atom_site_fract_x
_atom_site_fract_y
_atom_site_fract_z
K1 K 0.000 0.000 0.000
K2 K 0.333 0.667 0.667
K3 K 0.667 0.333 0.333
Mn1 Mn 0.000 0.000 0.500
Mn2 Mn 0.333 0.667 0.167
Mn3 Mn 0.667 0.333 0.833
Al1 Al 0.000 0.000 0.232
Al2 Al 0.000 0.000 0.768
Al3 Al 0.333 0.667 0.435
Al4 Al 0.333 0.667 0.899
Al5 Al 0.667 0.333 0.101
Al6 Al 0.667 0.333 0.565
# Symmetry: No. 166
# Excess energy over the best structure of this formula in the dataset, eV per atom: 0.2134
# Raw total energy, Ry per atom: -0.298
# Volume, Å³/atom: 19.12

***

# 4
# KMnAl2, optimized geometry, DFT PBE-GGA
data_KMnAl2
_space_group_name_H-M_alt 'P 1'
_space_group_IT_number 1
_space_group_name_Hall 'P 1'
_cell_length_a 2.827
_cell_length_b 5.762
_cell_length_c 10.981
_cell_angle_alpha 90.00
_cell_angle_beta 90.00
_cell_angle_gamma 90.00
loop_
_atom_site_label
_atom_site_type_symbol
_atom_site_fract_x
_atom_site_fract_y
_atom_site_fract_z
K1 K 0.000 0.000 0.000
K2 K 0.500 0.500 0.500
Mn1 Mn 0.000 0.000 0.500
Mn2 Mn 0.500 0.500 0.000
Al1 Al 0.000 0.500 0.200
Al2 Al 0.000 0.500 0.800
Al3 Al 0.500 0.000 0.300
Al4 Al 0.500 0.000 0.700
# Symmetry: No. 71
# Excess energy over the best structure of this formula in the dataset, eV per atom: 0.3343
# Raw total energy, Ry per atom: -0.289
# Volume, Å³/atom: 22.35